(1)
Entry from the Alexandria database: a relaxed Zr3InI crystal (GGA-PBE).

a b c (Å): 5.2406 5.2406 5.2406
angles (deg): 90.00 90.00 90.00
Space group Pm-3m (No. 221)
Symmetry-distinct sites (fractional):
Zr1 0.0000 0.0000 0.5000 (multiplicity 3)
In1 0.5000 0.5000 0.5000 (multiplicity 1)
I1 0.0000 0.0000 0.0000 (multiplicity 1)

Calculated values
Total moment ... 0.00 μB per formula unit
Excess energy over the best structure of this formula in the dataset ... 0 meV per atom

(2)
Entry from the Alexandria database: a relaxed Zr2InI crystal (GGA-PBE).

a b c (Å): 4.4750 4.4750 21.1138
angles (deg): 90.00 90.00 90.00
Space group I-42d (No. 122)
Symmetry-distinct sites (fractional):
Zr1 0.2427 0.2500 0.1250 (multiplicity 8)
In1 0.0000 0.0000 0.0000 (multiplicity 4)
I1 0.0000 0.0000 0.5000 (multiplicity 4)

Calculated values
Total moment ... 0.00 μB per formula unit
Excess energy over the best structure of this formula in the dataset ... 242 meV per atom

(3)
Entry from the Alexandria database: a relaxed ZrIn3I8 crystal (GGA-PBE).

a b c (Å): 9.6514 9.6514 13.9546
angles (deg): 90.00 90.00 120.00
Space group P6_3mc (No. 186)
Symmetry-distinct sites (fractional):
Zr1 0.3333 0.6667 0.0000 (multiplicity 2)
In1 0.1754 0.3507 0.7251 (multiplicity 6)
I1 0.0000 0.0000 0.3270 (multiplicity 2)
I2 0.0510 0.5255 0.8814 (multiplicity 6)
I3 0.1909 0.3818 0.1185 (multiplicity 6)
I4 0.3333 0.6667 0.5887 (multiplicity 2)

Calculated values
Total moment ... 0.00 μB per formula unit
Electronic total energy ... -3.03 eV per atom

(4)
Entry from the Alexandria database: a relaxed ZrInI crystal (GGA-PBE).

a b c (Å): 3.4499 3.4500 14.7315
angles (deg): 96.44 96.19 90.01
Space group P-1 (No. 2)
Symmetry-distinct sites (fractional):
Zr1 0.1093 0.1155 0.2419 (multiplicity 2)
In1 0.4565 0.4529 0.9007 (multiplicity 2)
I1 0.3338 0.3253 0.6346 (multiplicity 2)

Calculated values
Total moment ... 0.00 μB per formula unit
Excess energy over the best structure of this formula in the dataset ... 111 meV per atom

(5)
Entry from the Alexandria database: a relaxed ZrIn3I7 crystal (GGA-PBE).

a b c (Å): 12.0429 10.2326 9.5776
angles (deg): 90.00 127.41 90.00
Space group Cm (No. 8)
Symmetry-distinct sites (fractional):
Zr1 0.0000 0.0000 0.0000 (multiplicity 2)
In1 0.0779 0.5000 0.1708 (multiplicity 2)
In2 0.0949 0.1934 0.5663 (multiplicity 4)
I1 0.1957 0.5000 0.6381 (multiplicity 2)
I2 0.1993 0.1799 0.3129 (multiplicity 4)
I3 0.2167 0.0000 0.9537 (multiplicity 2)
I4 0.3465 0.5000 0.1364 (multiplicity 2)
I5 0.4459 0.2329 0.8415 (multiplicity 4)

Calculated values
Total moment ... 0.00 μB per formula unit
Electronic total energy ... -3.10 eV per atom

(6)
Entry from the Alexandria database: a relaxed ZrInI4 crystal (GGA-PBE).

a b c (Å): 11.7102 11.2122 6.8134
angles (deg): 90.00 101.60 90.00
Space group C2/c (No. 15)
Symmetry-distinct sites (fractional):
Zr1 0.0000 0.9999 0.2500 (multiplicity 4)
In1 0.0000 0.4951 0.2500 (multiplicity 4)
I1 0.0813 0.2123 0.0283 (multiplicity 8)
I2 0.2056 0.0829 0.5719 (multiplicity 8)

Calculated values
Total moment ... 0.00 μB per formula unit
Electronic total energy ... -3.57 eV per atom

(7)
Entry from the Alexandria database: a relaxed ZrInI crystal (GGA-PBE).

a b c (Å): 11.2409 3.5469 10.7599
angles (deg): 90.00 108.14 90.00
Space group Cm (No. 8)
Symmetry-distinct sites (fractional):
Zr1 0.0000 0.0000 0.0000 (multiplicity 2)
Zr2 0.0297 0.5000 0.7572 (multiplicity 2)
In1 0.2366 0.5000 0.0334 (multiplicity 2)
In2 0.2772 0.0000 0.8161 (multiplicity 2)
I1 0.0480 0.5000 0.2288 (multiplicity 2)
I2 0.4104 0.5000 0.5402 (multiplicity 2)

Calculated values
Total moment ... 0.00 μB per formula unit
Excess energy over the best structure of this formula in the dataset ... 127 meV per atom

(8)
Entry from the Alexandria database: a relaxed ZrIn2I6 crystal (GGA-PBE).

a b c (Å): 7.9221 8.6266 13.3903
angles (deg): 90.00 121.71 90.00
Space group P2_1/c (No. 14)
Symmetry-distinct sites (fractional):
Zr1 0.0000 0.0000 0.0000 (multiplicity 2)
In1 0.3183 0.1086 0.7830 (multiplicity 4)
I1 0.1104 0.0318 0.2413 (multiplicity 4)
I2 0.2260 0.7169 0.0590 (multiplicity 4)
I3 0.3462 0.1787 0.0493 (multiplicity 4)

Calculated values
Total moment ... 0.00 μB per formula unit
Electronic total energy ... -3.32 eV per atom

Look up the total moment of the first one. 0.00 μB per formula unit

total moment of number 1 (Zr3InI)? 0.00 μB per formula unit

Copy entry 4 word for word.
Entry from the Alexandria database: a relaxed ZrInI crystal (GGA-PBE).

a b c (Å): 3.4499 3.4500 14.7315
angles (deg): 96.44 96.19 90.01
Space group P-1 (No. 2)
Symmetry-distinct sites (fractional):
Zr1 0.1093 0.1155 0.2419 (multiplicity 2)
In1 0.4565 0.4529 0.9007 (multiplicity 2)
I1 0.3338 0.3253 0.6346 (multiplicity 2)

Calculated values
Total moment ... 0.00 μB per formula unit
Excess energy over the best structure of this formula in the dataset ... 111 meV per atom

Copy entry 1 word for word.
Entry from the Alexandria database: a relaxed Zr3InI crystal (GGA-PBE).

a b c (Å): 5.2406 5.2406 5.2406
angles (deg): 90.00 90.00 90.00
Space group Pm-3m (No. 221)
Symmetry-distinct sites (fractional):
Zr1 0.0000 0.0000 0.5000 (multiplicity 3)
In1 0.5000 0.5000 0.5000 (multiplicity 1)
I1 0.0000 0.0000 0.0000 (multiplicity 1)

Calculated values
Total moment ... 0.00 μB per formula unit
Excess energy over the best structure of this formula in the dataset ... 0 meV per atom